# 1
VASP calculation (PBE) on HoTmAlHg after structural relaxation.

extended XYZ file:
```
4
Lattice="5.161 0.000 0.000 2.580 4.469 0.000 2.580 1.490 4.214" Properties=species:S:1:pos:R:3 pbc="T T T"
Hg 7.741 4.469 3.160
Al 2.580 1.490 1.053
Ho 0.000 0.000 0.000
Tm 5.161 2.979 2.107
```

**SG**: F-43m
**Relative energy among the computed polymorphs**: 0.13 eV per formula unit
**Formation enthalpy at 0 K**: -9.09 kcal/mol of atoms

=====

# 2
VASP calculation (PBE) on Ho4AlZn2Hg after structural relaxation.

extended XYZ file:
```
8
Lattice="-0.857 -4.986 0.581 3.296 -3.388 -1.894 5.053 -2.683 6.747" Properties=species:S:1:pos:R:3 pbc="T T T"
Zn 5.594 -8.294 4.033
Ho 3.444 -2.724 4.021
Hg 0.000 0.000 0.000
Zn 1.898 -2.764 1.400
Ho 2.176 -5.569 0.057
Ho 4.048 -8.333 1.413
Al 3.746 -5.529 2.717
Ho 5.316 -5.489 5.376
```

**SG**: R-3m
**Formation enthalpy at 0 K**: -8.99 kcal/mol of atoms

=====

# 3
VASP calculation (PBE) on Ho4AlZnHg2 after structural relaxation.

extended XYZ file:
```
8
Lattice="5.161 0.000 0.000 2.581 4.470 0.000 2.581 1.490 8.444" Properties=species:S:1:pos:R:3 pbc="T T T"
Ho 5.161 2.980 1.082
Ho 2.581 1.490 5.252
Ho 7.742 4.470 3.191
Zn 5.161 2.980 4.222
Hg 7.742 4.470 6.321
Ho 5.161 2.980 7.361
Hg 2.581 1.490 2.123
Al 0.000 0.000 0.000
```

**SG**: R-3m
**Formation enthalpy at 0 K**: -9.11 kcal/mol of atoms

=====

# 4
VASP calculation (PBE) on AlHg2I after structural relaxation.

extended XYZ file:
```
8
Lattice="7.020 0.000 0.000 0.000 7.020 0.000 3.510 3.510 6.135" Properties=species:S:1:pos:R:3 pbc="T T T"
I 0.000 0.000 0.000
Al 3.510 3.510 0.000
Hg 2.230 5.265 1.534
Al 3.510 7.020 3.067
I 7.020 3.510 3.067
Hg 5.265 5.740 4.601
Hg 4.790 1.755 1.534
Hg 8.775 8.300 4.601
```

**SG**: I-42d
**E_form (uncorrected)**: 39 meV/atom
**Relative energy among the computed polymorphs**: 0.00 eV per formula unit

=====

# 5
VASP calculation (PBE) on AlHg3I9 after structural relaxation.

extended XYZ file:
```
26
Lattice="-1.575 5.688 8.507 -10.874 -3.168 6.406 4.925 -4.834 10.445" Properties=species:S:1:pos:R:3 pbc="T T T"
Hg -6.789 -1.755 10.615
Al 0.400 0.091 9.777
Hg 0.526 -0.747 2.333
I -1.302 -0.517 11.668
I -1.106 -0.158 7.604
I -9.669 -0.678 16.331
Hg -3.589 -0.627 16.922
I 2.121 1.066 13.948
I -3.730 -5.424 14.136
I -5.442 -2.481 17.127
I -5.362 0.395 9.678
I -9.461 1.253 11.050
I -6.739 3.138 13.609
I -3.074 3.712 11.978
Hg -3.027 -1.373 9.330
I -7.756 -3.301 12.532
Al -3.284 -1.348 22.035
I 2.491 -0.185 18.164
Hg 0.635 -0.870 15.205
I -8.511 -2.098 8.019
I -0.067 -3.375 15.687
Hg -6.908 -2.098 22.656
I -4.164 -3.845 9.425
I -1.714 1.050 15.993
I -2.078 -0.397 20.018
I 2.248 -1.625 9.752
```

**SG**: Cc
**E_form (uncorrected)**: -377 meV/atom

=====

# 6
VASP calculation (PBE) on AlHg2I after structural relaxation.

extended XYZ file:
```
4
Lattice="0.000 3.962 3.962 3.962 0.000 3.962 3.962 3.962 0.000" Properties=species:S:1:pos:R:3 pbc="T T T"
Hg 5.944 5.944 5.944
Al 0.000 0.000 0.000
Hg 1.981 1.981 1.981
I 3.962 3.962 3.962
```

**SG**: Fm-3m
**E_form (uncorrected)**: 209 meV/atom
**Relative energy among the computed polymorphs**: 0.68 eV per formula unit